Entry 1:
# PBE Ti7SnSb2H2, relaxed
# Total magnetization (μB/cell): 0.0
# Crystal system: monoclinic
# Calculated total energy (eV/atom): -6.663
data_Ti7SnSb2H2
_cell_length_a 5.671
_cell_length_b 5.669
_cell_length_c 12.004
_cell_angle_alpha 90.00
_cell_angle_beta 103.55
_cell_angle_gamma 90.00
_symmetry_space_group_name_H-M 'C 1 2/m 1'
_symmetry_Int_Tables_number 12
_symmetry_space_group_name_Hall '-C 2y'
loop_
_atom_site_label
_atom_site_type_symbol
_atom_site_fract_x
_atom_site_fract_y
_atom_site_fract_z
_atom_site_occupancy
Ti1 Ti 0.000 0.000 0.000 1
Ti2 Ti 0.156 0.250 0.811 1
Ti3 Ti 0.197 0.000 0.398 1
Sn1 Sn 0.000 0.500 0.000 1
Sb1 Sb 0.181 0.500 0.364 1
H1 H 0.085 0.000 0.170 1

=====

Entry 2:
# PBE Sr3SbH2, relaxed
# Total magnetization (μB/cell): 2.4
# Crystal system: orthorhombic
# Excess energy over the best structure of this formula in the dataset (eV/atom): 0.000
# Calculated total energy (eV/atom): -3.298
data_Sr3SbH2
_cell_length_a 9.800
_cell_length_b 11.993
_cell_length_c 5.441
_cell_angle_alpha 90.00
_cell_angle_beta 90.00
_cell_angle_gamma 90.00
_symmetry_space_group_name_H-M 'C m c m'
_symmetry_Int_Tables_number 63
_symmetry_space_group_name_Hall '-C 2c 2'
loop_
_atom_site_label
_atom_site_type_symbol
_atom_site_fract_x
_atom_site_fract_y
_atom_site_fract_z
_atom_site_occupancy
Sr1 Sr 0.000 0.113 0.250 1
Sr2 Sr 0.205 0.386 0.250 1
Sb1 Sb 0.000 0.310 0.750 1
H1 H 0.150 0.000 0.000 1

=====

Entry 3:
# PBE Sr3Sb2H3, relaxed
# Total magnetization (μB/cell): 0.0
# Crystal system: hexagonal
# Calculated total energy (eV/atom): -3.292
data_Sr3Sb2H3
_cell_length_a 8.1942
_cell_length_b 8.1942
_cell_length_c 3.3511
_cell_angle_alpha 90.00
_cell_angle_beta 90.00
_cell_angle_gamma 120.00
_symmetry_space_group_name_H-M 'P -6 2 m'
_symmetry_Int_Tables_number 189
_symmetry_space_group_name_Hall 'P -6 -2'
loop_
_atom_site_label
_atom_site_type_symbol
_atom_site_fract_x
_atom_site_fract_y
_atom_site_fract_z
_atom_site_occupancy
Sr1 Sr 0.0000 0.7347 0.0000 1
Sb1 Sb 0.3333 0.6667 0.5000 1
H1 H 0.0000 0.1815 0.5000 1

=====

Entry 4:
# PBE SrSbH, relaxed
# Total magnetization (μB/cell): 0.0
# Crystal system: tetragonal
# Excess energy over the best structure of this formula in the dataset (eV/atom): 0.100
# Calculated total energy (eV/atom): -3.481
data_SrSbH
_cell_length_a 4.259
_cell_length_b 4.259
_cell_length_c 17.024
_cell_angle_alpha 90.00
_cell_angle_beta 90.00
_cell_angle_gamma 90.00
_symmetry_space_group_name_H-M 'I 4/m m m'
_symmetry_Int_Tables_number 139
_symmetry_space_group_name_Hall '-I 4 2'
loop_
_atom_site_label
_atom_site_type_symbol
_atom_site_fract_x
_atom_site_fract_y
_atom_site_fract_z
_atom_site_occupancy
Sr1 Sr 0.000 0.000 0.156 1
Sb1 Sb 0.000 0.500 0.000 1
H1 H 0.000 0.000 0.301 1

=====

Entry 5:
# PBE Sr3SbH, relaxed
# Total magnetization (μB/cell): 0.0
# Crystal system: orthorhombic
# Excess energy over the best structure of this formula in the dataset (eV/atom): 0.000
# Calculated total energy (eV/atom): -3.016
data_Sr3SbH
_cell_length_a 9.913
_cell_length_b 14.478
_cell_length_c 4.534
_cell_angle_alpha 90.00
_cell_angle_beta 90.00
_cell_angle_gamma 90.00
_symmetry_space_group_name_H-M 'C m m m'
_symmetry_Int_Tables_number 65
_symmetry_space_group_name_Hall '-C 2 2'
loop_
_atom_site_label
_atom_site_type_symbol
_atom_site_fract_x
_atom_site_fract_y
_atom_site_fract_z
_atom_site_occupancy
Sr1 Sr 0.000 0.175 0.000 1
Sr2 Sr 0.191 0.376 0.500 1
Sb1 Sb 0.000 0.000 0.500 1
Sb2 Sb 0.000 0.500 0.000 1
H1 H 0.250 0.250 0.000 1

=====

Entry 6:
# PBE SrSb3H, relaxed
# Total magnetization (μB/cell): 0.0
# Crystal system: cubic
# Excess energy over the best structure of this formula in the dataset (eV/atom): 0.000
# Calculated total energy (eV/atom): -3.597
data_SrSb3H
_cell_length_a 4.936
_cell_length_b 4.936
_cell_length_c 4.936
_cell_angle_alpha 90.00
_cell_angle_beta 90.00
_cell_angle_gamma 90.00
_symmetry_space_group_name_H-M 'P m -3 m'
_symmetry_Int_Tables_number 221
_symmetry_space_group_name_Hall '-P 4 2 3'
loop_
_atom_site_label
_atom_site_type_symbol
_atom_site_fract_x
_atom_site_fract_y
_atom_site_fract_z
_atom_site_occupancy
Sr1 Sr 0.000 0.000 0.000 1
Sb1 Sb 0.000 0.500 0.500 1
H1 H 0.500 0.500 0.500 1

=====

Entry 7:
# PBE Sr5Sb2H2, relaxed
# Total magnetization (μB/cell): 0.0
# Crystal system: orthorhombic
# Calculated total energy (eV/atom): -3.321
data_Sr5Sb2H2
_cell_length_a 22.500
_cell_length_b 7.044
_cell_length_c 7.004
_cell_angle_alpha 90.00
_cell_angle_beta 90.00
_cell_angle_gamma 90.00
_symmetry_space_group_name_H-M 'I m a 2'
_symmetry_Int_Tables_number 46
_symmetry_space_group_name_Hall 'I 2 -2a'
loop_
_atom_site_label
_atom_site_type_symbol
_atom_site_fract_x
_atom_site_fract_y
_atom_site_fract_z
_atom_site_occupancy
Sr1 Sr 0.001 0.250 0.000 1
Sr2 Sr 0.152 0.513 0.256 1
Sr3 Sr 0.250 0.020 0.235 1
Sb1 Sb 0.103 0.003 0.250 1
H1 H 0.000 0.000 0.749 1
H2 H 0.250 0.152 0.891 1

=====

Entry 8:
# PBE Sr4SbH2, relaxed
# Total magnetization (μB/cell): 3.9
# Crystal system: tetragonal
# Calculated total energy (eV/atom): -3.009
data_Sr4SbH2
_cell_length_a 10.475
_cell_length_b 10.475
_cell_length_c 8.430
_cell_angle_alpha 90.00
_cell_angle_beta 90.00
_cell_angle_gamma 90.00
_symmetry_space_group_name_H-M 'I -4'
_symmetry_Int_Tables_number 82
_symmetry_space_group_name_Hall 'I -4'
loop_
_atom_site_label
_atom_site_type_symbol
_atom_site_fract_x
_atom_site_fract_y
_atom_site_fract_z
_atom_site_occupancy
Sr1 Sr 0.019 0.313 0.406 1
Sr2 Sr 0.035 0.209 0.856 1
Sb1 Sb 0.000 0.000 0.500 1
Sb2 Sb 0.000 0.500 0.750 1
H1 H 0.012 0.351 0.120 1